[1]
# PBE-GGA TbPrY6, relaxed
data_TbPrY6
_chemical_formula_sum 'Tb3 Pr3 Y18'
_space_group_name_H-M_alt 'R -3'
_space_group_IT_number 148
_space_group_name_Hall '-R 3'
_cell_length_a 9.6831
_cell_length_b 9.6831
_cell_length_c 9.9598
_cell_angle_alpha 90.00
_cell_angle_beta 90.00
_cell_angle_gamma 120.00
loop_
_atom_site_label
_atom_site_fract_x
_atom_site_fract_y
_atom_site_fract_z
_atom_site_occupancy
Tb1 0.0000 0.0000 0.0000 1
Pr1 0.0000 0.0000 0.5000 1
Y1 0.0011 0.2937 0.7511 1
# Energy relative to the lowest polymorph listed for this composition ... 0 meV/atom

***

[2]
# PBE-GGA Tb5Pr2Y4, relaxed
data_Tb5Pr2Y4
_chemical_formula_sum 'Tb10 Pr4 Y8'
_space_group_name_H-M_alt 'C 1 2/m 1'
_space_group_IT_number 12
_space_group_name_Hall '-C 2y'
_cell_length_a 24.023
_cell_length_b 3.480
_cell_length_c 8.811
_cell_angle_alpha 90.00
_cell_angle_beta 96.47
_cell_angle_gamma 90.00
loop_
_atom_site_label
_atom_site_fract_x
_atom_site_fract_y
_atom_site_fract_z
_atom_site_occupancy
Tb1 0.000 0.000 0.000 1
Tb2 0.141 0.500 0.123 1
Tb3 0.234 0.500 0.826 1
Pr1 0.093 0.500 0.744 1
Y1 0.045 0.500 0.361 1
Y2 0.178 0.000 0.473 1
# Energy relative to the lowest polymorph listed for this composition ... 0 meV/atom

***

[3]
# PBE-GGA Tb6PrY12, relaxed
data_Tb6PrY12
_chemical_formula_sum 'Tb18 Pr3 Y36'
_space_group_name_H-M_alt 'R -3'
_space_group_IT_number 148
_space_group_name_Hall '-R 3'
_cell_length_a 11.9398
_cell_length_b 11.9398
_cell_length_c 15.3210
_cell_angle_alpha 90.00
_cell_angle_beta 90.00
_cell_angle_gamma 120.00
loop_
_atom_site_label
_atom_site_fract_x
_atom_site_fract_y
_atom_site_fract_z
_atom_site_occupancy
Tb1 0.0103 0.5874 0.1789 1
Pr1 0.0000 0.0000 0.5000 1
Y1 0.0152 0.1814 0.6910 1
Y2 0.0416 0.1900 0.9150 1
# Energy relative to the lowest polymorph listed for this composition ... 129 meV/atom

***

[4]
# PBE-GGA Tb4PrY2, relaxed
data_Tb4PrY2
_chemical_formula_sum 'Tb8 Pr2 Y4'
_space_group_name_H-M_alt 'C 1 2/m 1'
_space_group_IT_number 12
_space_group_name_Hall '-C 2y'
_cell_length_a 16.837
_cell_length_b 3.546
_cell_length_c 8.822
_cell_angle_alpha 90.00
_cell_angle_beta 119.30
_cell_angle_gamma 90.00
loop_
_atom_site_label
_atom_site_fract_x
_atom_site_fract_y
_atom_site_fract_z
_atom_site_occupancy
Tb1 0.142 0.000 0.335 1
Tb2 0.206 0.000 0.793 1
Pr1 0.000 0.500 0.500 1
Y1 0.071 0.500 0.931 1
# Energy relative to the lowest polymorph listed for this composition ... 0 meV/atom

***

[5]
# PBE-GGA TbPr3Y6, relaxed
data_TbPr3Y6
_chemical_formula_sum 'Tb3 Pr9 Y18'
_space_group_name_H-M_alt 'R 3'
_space_group_IT_number 146
_space_group_name_Hall 'R 3'
_cell_length_a 9.9963
_cell_length_b 9.9963
_cell_length_c 11.7497
_cell_angle_alpha 90.00
_cell_angle_beta 90.00
_cell_angle_gamma 120.00
loop_
_atom_site_label
_atom_site_fract_x
_atom_site_fract_y
_atom_site_fract_z
_atom_site_occupancy
Tb1 0.0000 0.0000 0.0000 1
Pr1 0.0000 0.0000 0.2494 1
Pr2 0.0000 0.0000 0.5000 1
Pr3 0.0000 0.0000 0.7510 1
Y1 0.0030 0.3278 0.7506 1
Y2 0.0083 0.6692 0.9174 1
# Energy relative to the lowest polymorph listed for this composition ... 119 meV/atom

***

[6]
# PBE-GGA TbPr5Y5, relaxed
data_TbPr5Y5
_chemical_formula_sum 'Tb1 Pr5 Y5'
_space_group_name_H-M_alt 'P -6 m 2'
_space_group_IT_number 187
_space_group_name_Hall 'P -6 2'
_cell_length_a 6.1790
_cell_length_b 6.1790
_cell_length_c 11.9264
_cell_angle_alpha 90.00
_cell_angle_beta 90.00
_cell_angle_gamma 120.00
loop_
_atom_site_label
_atom_site_fract_x
_atom_site_fract_y
_atom_site_fract_z
_atom_site_occupancy
Tb1 0.0000 0.0000 0.0000 1
Pr1 0.0000 0.0000 0.3140 1
Pr2 0.3333 0.6667 0.1518 1
Pr3 0.6667 0.3333 0.0000 1
Y1 0.9997 0.4998 0.5000 1
Y2 0.6667 0.3333 0.2626 1
# Energy relative to the lowest polymorph listed for this composition ... 47 meV/atom

***

[7]
# PBE-GGA Tb7Pr2Y2, relaxed
data_Tb7Pr2Y2
_chemical_formula_sum 'Tb7 Pr2 Y2'
_space_group_name_H-M_alt 'P -1'
_space_group_IT_number 2
_space_group_name_Hall '-P 1'
_cell_length_a 6.606
_cell_length_b 6.730
_cell_length_c 8.991
_cell_angle_alpha 110.94
_cell_angle_beta 99.03
_cell_angle_gamma 95.64
loop_
_atom_site_label
_atom_site_fract_x
_atom_site_fract_y
_atom_site_fract_z
_atom_site_occupancy
Tb1 0.000 0.000 0.000 1
Tb2 0.107 0.420 0.831 1
Tb3 0.381 0.431 0.215 1
Tb4 0.499 0.120 0.862 1
Pr1 0.217 0.678 0.572 1
Y1 0.252 0.112 0.451 1
# Energy relative to the lowest polymorph listed for this composition ... 0 meV/atom

***

[8]
# PBE-GGA TbPr3Y7, relaxed
data_TbPr3Y7
_chemical_formula_sum 'Tb1 Pr3 Y7'
_space_group_name_H-M_alt 'P 3 m 1'
_space_group_IT_number 156
_space_group_name_Hall 'P 3 -2"'
_cell_length_a 7.1473
_cell_length_b 7.1473
_cell_length_c 8.7516
_cell_angle_alpha 90.00
_cell_angle_beta 90.00
_cell_angle_gamma 120.00
loop_
_atom_site_label
_atom_site_fract_x
_atom_site_fract_y
_atom_site_fract_z
_atom_site_occupancy
Tb1 0.0000 0.0000 0.0000 1
Pr1 0.1664 0.3329 0.6621 1
Y1 0.0013 0.5006 0.9989 1
Y2 0.3316 0.1658 0.3241 1
Y3 0.3333 0.6667 0.3235 1
# Energy relative to the lowest polymorph listed for this composition ... 34 meV/atom

***

[9]
# PBE-GGA Tb8PrY2, relaxed
data_Tb8PrY2
_chemical_formula_sum 'Tb16 Pr2 Y4'
_space_group_name_H-M_alt 'I m m m'
_space_group_IT_number 71
_space_group_name_Hall '-I 2 2'
_cell_length_a 5.567
_cell_length_b 8.151
_cell_length_c 15.987
_cell_angle_alpha 90.00
_cell_angle_beta 90.00
_cell_angle_gamma 90.00
loop_
_atom_site_label
_atom_site_fract_x
_atom_site_fract_y
_atom_site_fract_z
_atom_site_occupancy
Tb1 0.000 0.000 0.164 1
Tb2 0.000 0.206 0.362 1
Tb3 0.000 0.295 0.000 1
Pr1 0.000 0.500 0.500 1
Y1 0.000 0.500 0.200 1
# Energy relative to the lowest polymorph listed for this composition ... 0 meV/atom

***

[10]
# PBE-GGA TbPrY5, relaxed
data_TbPrY5
_chemical_formula_sum 'Tb2 Pr2 Y10'
_space_group_name_H-M_alt 'I m m m'
_space_group_IT_number 71
_space_group_name_Hall '-I 2 2'
_cell_length_a 5.816
_cell_length_b 8.655
_cell_length_c 11.874
_cell_angle_alpha 90.00
_cell_angle_beta 90.00
_cell_angle_gamma 90.00
loop_
_atom_site_label
_atom_site_fract_x
_atom_site_fract_y
_atom_site_fract_z
_atom_site_occupancy
Tb1 0.000 0.000 0.000 1
Pr1 0.000 0.000 0.500 1
Y1 0.000 0.000 0.248 1
Y2 0.000 0.321 0.000 1
Y3 0.000 0.500 0.500 1
# Energy relative to the lowest polymorph listed for this composition ... 986 meV/atom

***

[11]
# PBE-GGA TbPrY, relaxed
data_TbPrY
_chemical_formula_sum 'Tb1 Pr1 Y1'
_space_group_name_H-M_alt 'P -6 m 2'
_space_group_IT_number 187
_space_group_name_Hall 'P -6 2'
_cell_length_a 5.6963
_cell_length_b 5.6963
_cell_length_c 3.5638
_cell_angle_alpha 90.00
_cell_angle_beta 90.00
_cell_angle_gamma 120.00
loop_
_atom_site_label
_atom_site_fract_x
_atom_site_fract_y
_atom_site_fract_z
_atom_site_occupancy
Tb1 0.0000 0.0000 0.0000 1
Pr1 0.6667 0.3333 0.0000 1
Y1 0.3333 0.6667 0.5000 1
# Energy relative to the lowest polymorph listed for this composition ... 43 meV/atom

***

[12]
# PBE-GGA TbPrY, relaxed
data_TbPrY
_chemical_formula_sum 'Tb4 Pr4 Y4'
_space_group_name_H-M_alt 'C 1 2/m 1'
_space_group_IT_number 12
_space_group_name_Hall '-C 2y'
_cell_length_a 11.302
_cell_length_b 5.968
_cell_length_c 7.033
_cell_angle_alpha 90.00
_cell_angle_beta 122.03
_cell_angle_gamma 90.00
loop_
_atom_site_label
_atom_site_fract_x
_atom_site_fract_y
_atom_site_fract_z
_atom_site_occupancy
Tb1 0.006 0.000 0.256 1
Pr1 0.175 0.500 0.764 1
Y1 0.160 0.500 0.256 1
# Energy relative to the lowest polymorph listed for this composition ... 91 meV/atom

***

| no. | calculated total energy (eV per atom) | calculated volume (Å³/atom) |
| --- | --- | --- |
| 1 | -5.875 | 33.70 |
| 2 | -5.178 | 33.27 |
| 3 | -5.647 | 33.18 |
| 4 | -5.138 | 32.80 |
| 5 | -5.515 | 33.89 |
| 6 | -5.231 | 35.85 |
| 7 | -4.913 | 33.05 |
| 8 | -5.664 | 35.20 |
| 9 | -4.861 | 32.98 |
| 10 | -4.874 | 42.69 |
| 11 | -5.231 | 33.38 |
| 12 | -5.184 | 33.52 |